Model one:
A plane-wave DFT calculation with PBE was carried out for a relaxed ErHf2Sn crystal.

Properties
* spin magnetization: 0.000 μB/cell
* DOS(E_F): 1.111 states/eV per atom
* theoretical density: 11.50 g/cm3

Cell: 4.568 4.507 4.507 Å, 90.00 90.00 90.00°
Fractional coordinates of all 4 atoms:
Hf 0.000 0.000 0.500
Hf 0.000 0.500 0.000
Sn 0.500 0.000 0.000
Er 0.500 0.500 0.500

Model two:
A plane-wave DFT calculation with PBE was carried out for a relaxed ErHf2Sn crystal.

Properties
* spin magnetization: 0.000 μB/cell
* DOS(E_F): 0.452 states/eV per atom
* theoretical density: 10.69 g/cm3

Cell: 4.371 4.366 10.691 Å, 101.74 90.00 90.00°
Fractional coordinates of all 8 atoms:
Er 0.250 0.312 0.621
Er 0.750 0.688 0.379
Hf 0.750 0.448 0.895
Hf 0.250 0.552 0.105
Hf 0.250 0.950 0.898
Hf 0.750 0.050 0.102
Sn 0.750 0.841 0.680
Sn 0.250 0.159 0.320

The structure with the least stability is model one.

Model one:
A plane-wave DFT calculation with PBE was carried out for a relaxed ErHf2Ta crystal.

Properties
* spin magnetization: 0.000 μB/cell
* DOS(E_F): 1.505 states/eV per atom
* theoretical density: 12.63 g/cm3

Cell: 3.560 3.560 7.314 Å, 90.00 90.00 90.00°
Fractional coordinates of all 4 atoms:
Er 0.500 0.500 0.500
Hf 0.000 0.000 0.795
Hf 0.000 0.000 0.205
Ta 0.500 0.500 0.000

Model two:
A plane-wave DFT calculation with PBE was carried out for a relaxed ErHf2Ta crystal.

Properties
* spin magnetization: 0.000 μB/cell
* DOS(E_F): 1.206 states/eV per atom
* theoretical density: 12.44 g/cm3

Cell: 3.147 3.147 11.120 Å, 81.86 81.86 60.00°
Fractional coordinates of all 4 atoms:
Er 0.000 0.000 0.000
Hf 0.095 0.095 0.715
Hf 0.905 0.905 0.285
Ta 0.500 0.500 0.500

The structure with the least stability is model two.

Model one:
A plane-wave DFT calculation with PBE was carried out for a relaxed TbErHf crystal.

Properties
* spin magnetization: 0.000 μB/cell
* DOS(E_F): 1.400 states/eV per atom
* theoretical density: 10.08 g/cm3

Cell: 3.356 3.356 7.754 Å, 102.50 102.50 90.00°
Fractional coordinates of all 3 atoms:
Tb 0.011 0.011 0.022
Hf 0.668 0.668 0.336
Er 0.321 0.321 0.642

Model two:
A plane-wave DFT calculation with PBE was carried out for a relaxed TbErHf crystal.

Properties
* spin magnetization: 0.000 μB/cell
* DOS(E_F): 1.397 states/eV per atom
* theoretical density: 9.56 g/cm3

Cell: 4.628 4.628 8.184 Å, 90.00 90.00 90.00°
Fractional coordinates of all 6 atoms:
Hf 0.000 0.000 0.000
Hf 0.500 0.500 0.000
Tb 0.000 0.500 0.711
Tb 0.500 0.000 0.289
Er 0.000 0.500 0.283
Er 0.500 0.000 0.717

The structure with the least stability is model two.

Model one:
A plane-wave DFT calculation with PBE was carried out for a relaxed TbErHf crystal.

Properties
* spin magnetization: 0.276 μB/cell
* DOS(E_F): 1.854 states/eV per atom
* theoretical density: 10.13 g/cm3

Cell: 3.371 5.323 5.323 Å, 120.00 90.00 90.00°
Site moments in Bohr magnetons follow the coordinates.
Fractional coordinates of all 3 atoms:
Tb 0.667 0.667 0.333  0.03
Hf 0.167 0.333 0.667  0.11
Er 0.166 0.000 0.000  0.05

Model two:
A plane-wave DFT calculation with PBE was carried out for a relaxed TbErHf crystal.

Properties
* spin magnetization: 0.000 μB/cell
* DOS(E_F): 1.422 states/eV per atom
* theoretical density: 10.01 g/cm3

Cell: 9.875 3.339 14.381 Å, 110.37 46.38 70.16°
Fractional coordinates of all 6 atoms:
Tb 0.497 0.766 0.890
Tb 0.539 0.286 0.261
Er 0.959 0.679 0.805
Er 0.077 0.373 0.346
Hf 0.327 0.280 0.783
Hf 0.709 0.772 0.367

Model three:
A plane-wave DFT calculation with PBE was carried out for a relaxed TbErHf crystal.

Properties
* spin magnetization: 0.001 μB/cell
* DOS(E_F): 1.356 states/eV per atom
* theoretical density: 9.93 g/cm3

Cell: 3.363 5.162 9.868 Å, 90.00 80.17 90.00°
Fractional coordinates of all 6 atoms:
Tb 0.931 0.892 0.757
Tb 0.523 0.392 0.572
Er 0.334 0.392 0.950
Er 0.120 0.892 0.378
Hf 0.691 0.392 0.235
Hf 0.762 0.892 0.093

The structure with the least stability is model one.

Model one:
A plane-wave DFT calculation with PBE was carried out for a relaxed ErHfTc crystal.

Properties
* spin magnetization: 0.000 μB/cell
* DOS(E_F): 0.470 states/eV per atom
* theoretical density: 10.48 g/cm3

Cell: 4.555 6.588 9.373 Å, 90.00 90.00 90.00°
Fractional coordinates of all 12 atoms:
Er 0.750 0.016 0.128
Er 0.250 0.516 0.372
Er 0.250 0.984 0.872
Er 0.750 0.484 0.628
Tc 0.750 0.777 0.375
Tc 0.250 0.277 0.125
Tc 0.250 0.223 0.625
Tc 0.750 0.723 0.875
Hf 0.750 0.516 0.119
Hf 0.250 0.016 0.381
Hf 0.250 0.484 0.881
Hf 0.750 0.984 0.619

Model two:
A plane-wave DFT calculation with PBE was carried out for a relaxed ErHfTc crystal.

Properties
* spin magnetization: 0.000 μB/cell
* DOS(E_F): 0.463 states/eV per atom
* theoretical density: 11.27 g/cm3

Cell: 3.376 3.376 6.215 Å, 105.76 105.76 90.00°
Fractional coordinates of all 3 atoms:
Hf 0.297 0.297 0.594
Tc 0.681 0.681 0.361
Er 0.022 0.022 0.045

The structure with the least stability is model one.

Model one:
A plane-wave DFT calculation with PBE was carried out for a relaxed ErHfTh2 crystal.

Properties
* spin magnetization: 0.000 μB/cell
* DOS(E_F): 1.601 states/eV per atom
* theoretical density: 11.32 g/cm3

Cell: 3.364 3.364 12.279 Å, 82.13 82.13 60.00°
Fractional coordinates of all 4 atoms:
Hf 0.000 0.000 0.000
Th 0.084 0.084 0.749
Th 0.916 0.916 0.251
Er 0.500 0.500 0.500

Model two:
A plane-wave DFT calculation with PBE was carried out for a relaxed ErHfTh2 crystal.

Properties
* spin magnetization: 0.000 μB/cell
* DOS(E_F): 1.492 states/eV per atom
* theoretical density: 11.46 g/cm3

Cell: 3.476 3.476 9.713 Å, 90.00 90.00 90.00°
Fractional coordinates of all 4 atoms:
Hf 0.500 0.500 0.000
Th 0.000 0.000 0.765
Th 0.000 0.000 0.235
Er 0.500 0.500 0.500

Model three:
A plane-wave DFT calculation with PBE was carried out for a relaxed ErHfTh2 crystal.

Properties
* spin magnetization: 0.001 μB/cell
* DOS(E_F): 1.372 states/eV per atom
* theoretical density: 11.53 g/cm3

Cell: 4.807 4.927 4.927 Å, 90.00 90.00 90.00°
Fractional coordinates of all 4 atoms:
Hf 0.500 0.000 0.000
Th 0.000 0.000 0.500
Th 0.000 0.500 0.000
Er 0.500 0.500 0.500

The structure with the least stability is model one.